(1)
A plane-wave DFT calculation with GGA-PBE was carried out for a relaxed RbPrSe4 crystal.

- size of the total moment (μB/f.u.) = 0.0
- formation energy (no corrections) (eV per atom) = -1.171
- E (eV per cell) = -53.42

Cell: 6.440 6.440 8.815 Å, 90.00 90.00 90.00°
Space group P4/nbm (No. 125, origin choice 2)
Symmetry-distinct sites (fractional):
Rb1 0.250 0.250 0.000
Pr1 0.250 0.250 0.500
Se1 0.117 0.617 0.294

(2)
A plane-wave DFT calculation with GGA-PBE was carried out for a relaxed Re3NiSn crystal.

- size of the total moment (μB/f.u.) = 3.0
- excess energy over the best structure of this formula in the dataset (meV per atom) = 0
- E (eV per cell) = -38.87

Cell: 4.490 4.490 4.490 Å, 90.00 90.00 90.00°
Space group Pm-3m (No. 221)
Symmetry-distinct sites (fractional):
Re1 0.000 0.000 0.500
Ni1 0.000 0.000 0.000
Sn1 0.500 0.500 0.500